## ZrTiTlPd (PBE)

Data for an optimized crystal structure of ZrTiTlPd.

Cell: 6.806 6.806 6.806 Å, 90.00 90.00 90.00°
Space group F-43m (No. 216)
Inequivalent atoms, fractional coordinates:
Zr 0.000 0.000 0.000
Ti 0.000 0.000 0.500
Tl 0.250 0.250 0.750
Pd 0.250 0.250 0.250

- Fermi-level density of states (states/eV/f.u.) = 3.840
- total magnetization (μB/f.u.) = 1.6
- E_form (eV per atom) = -0.15